Material: ZrTaB2
Method: DFT, GGA-PBEsol
State: relaxed

Summary:
Calculated total energy, eV/atom: -8.37
Crystal system: tetragonal
Calculated volume, Å³ per cell: 132.1
Space-group type: I-42d

Cell lengths 6.279, 6.279, 6.279 Å; angles 132.47, 132.47, 69.49 degrees
Fractional coordinates of all 8 atoms:
Zr 0.000 0.000 0.000
Zr 0.750 0.250 0.500
Ta 0.250 0.750 0.500
Ta 0.500 0.500 0.000
B 0.148 0.625 0.023
B 0.375 0.398 0.523
B 0.602 0.125 0.977
B 0.875 0.852 0.477